Computed, not measured: an optimized crystal structure of Li2Cr3O6 at the PBE+U level of DFT.

Results
The calculation puts the size of the total moment at 16.0 μB per cell. As for the space group: Cc. The calculation puts the energy relative to the lowest polymorph listed for this composition at 0.000 eV per atom.

Cell: 5.1499 5.1499 10.3217 Å, 79.29 79.29 59.31°
Closest atoms and distances in Å follow each position.
Atoms (fractional coordinates):
Li 0.0548 0.8310 0.2518  4 O 2.05-2.11
Li 0.4923 0.7094 0.7549  4 O 2.03-2.08
Li 0.8310 0.0548 0.7518  4 O 2.05-2.11
Li 0.7094 0.4923 0.2549  4 O 2.03-2.08
Cr 0.7761 0.7505 0.0006  6 O 1.91-2.02
Cr 0.4146 0.4384 0.5082  6 O 2.01-2.05
Cr 0.1117 0.0871 0.9950  6 O 2.01-2.04
Cr 0.7505 0.7761 0.5006  6 O 1.91-2.02
Cr 0.4384 0.4146 0.0082  6 O 2.01-2.05
Cr 0.0871 0.1117 0.4950  6 O 2.01-2.04
O 0.4876 0.0953 0.8985  3 Cr 1.91-2.05, 1 Li 2.05
O 0.7770 0.1347 0.3944  3 Cr 2.01-2.05, 2 Li 2.03-2.11
O 0.0397 0.7674 0.6013  3 Cr 1.95-2.02, 1 Li 2.09
O 0.4169 0.7263 0.1080  3 Cr 2.01-2.04, 2 Li 2.05-2.08
O 0.7834 0.4590 0.9008  3 Cr 1.95-2.02, 1 Li 2.08
O 0.0953 0.4876 0.3985  3 Cr 1.91-2.05, 1 Li 2.05
O 0.4057 0.0626 0.6033  3 Cr 1.91-2.04, 1 Li 2.08
O 0.7674 0.0397 0.1013  3 Cr 1.95-2.02, 1 Li 2.09
O 0.1347 0.7770 0.8944  3 Cr 2.01-2.05, 2 Li 2.03-2.11
O 0.4590 0.7834 0.4008  3 Cr 1.95-2.02, 1 Li 2.08
O 0.7263 0.4169 0.6080  3 Cr 2.01-2.04, 2 Li 2.05-2.08
O 0.0626 0.4057 0.1033  3 Cr 1.91-2.04, 1 Li 2.08